Here is a relaxed structure of Si2TcBIr from Alexandria via LeMat-Bulk. Energies are from PBE.

The space group is P4/mmm (No. 123) and the conventional cell measures 4.180, 4.180 and 3.854 Å, with angles of 90.00, 90.00 and 90.00 degrees. Symmetry generates all atoms from Si at (0.000, 0.500, 0.000), Tc at (0.000, 0.000, 0.500), B at (0.500, 0.500, 0.000) and Ir at (0.500, 0.500, 0.500).

The total moment comes out at 0.55 μB per formula unit. Its final energy is -6.7711 eV per atom. The uncorrected formation energy is 0.579 eV/atom. Its density of states at the Fermi level is 0.78 states/eV/atom.